1.
This record from Alexandria via LeMat-Bulk describes crystalline BeTl2Os at its relaxed geometry. The functional is GGA-PBE.

Cell lengths 5.2202, 5.2202, 5.2202 Å; angles 134.41, 134.41, 66.45 degrees
Last column: nearest neighbours and their distance in Å.
Positions (direct):
Be  0.5000  0.5000  0.0000  8 Tl 2.86-2.98, 4 Os 2.98
Tl  0.0000  0.0000  0.0000  4 Be 2.86, 4 Tl 2.98, 4 Os 2.98
Tl  0.2500  0.7500  0.5000  4 Os 2.86, 4 Be 2.98, 4 Tl 2.98
Os  0.7500  0.2500  0.5000  8 Tl 2.86-2.98, 4 Be 2.98

Computed properties:
DOS(E_F) = 1.55 states/eV/cell
space group = I-4m2, No. 119
excess energy over the best structure of this formula in the dataset = 506.6 meV per atom

2.
This record from Alexandria via LeMat-Bulk describes crystalline AlAuBr2 at its relaxed geometry. The functional is GGA-PBE.

Cell lengths 6.7115, 6.7115, 7.9755 Å; angles 65.12, 65.12, 90.00 degrees
Last column: nearest neighbours and their distance in Å.
Positions (direct):
Au  0.0000  0.0000  0.0000  4 Br 2.71
Au  0.7500  0.2500  0.5000  4 Br 2.71
Al  0.5000  0.5000  0.0000  4 Br 3.03
Al  0.2500  0.7500  0.5000  4 Br 3.03
Br  0.6664  0.1250  0.2500  2 Au 2.71, 2 Al 3.03
Br  0.0836  0.6250  0.2500  2 Au 2.71, 2 Al 3.03
Br  0.3750  0.3336  0.7500  2 Au 2.71, 2 Al 3.03
Br  0.8750  0.9164  0.7500  2 Au 2.71, 2 Al 3.03

Computed properties:
DOS(E_F) = 0.00 states/eV/cell
space group = I-42d, No. 122
excess energy over the best structure of this formula in the dataset = 637.7 meV per atom
E_form (uncorrected) = 0.053 eV per atom

3.
This record from Alexandria via LeMat-Bulk describes crystalline Ta2BeHPd at its relaxed geometry. The functional is GGA-PBE.

Cell lengths 4.0364, 4.0364, 3.9073 Å; angles 90.00, 90.00, 90.00 degrees
Last column: nearest neighbours and their distance in Å.
Positions (direct):
Be  0.0000  0.0000  0.5000  2 H 1.95
H  0.0000  0.0000  0.0000  2 Be 1.95, 4 Ta 2.02
Pd  0.5000  0.5000  0.5000  8 Ta 2.81, 4 Be 2.85
Ta  0.0000  0.5000  0.0000  2 H 2.02
Ta  0.5000  0.0000  0.0000  2 H 2.02

Computed properties:
DOS(E_F) = 2.88 states/eV/cell
space group = P4/mmm, No. 123
DFT total energy = -7.224 eV/atom

Density? In order: 14.1 4.4 12.5 g cm⁻³.